[1]
# GGA-PBEsol CdNi2PRu, relaxed
data_CdNi2PRu
_chemical_formula_sum 'Cd1 Ni2 P1 Ru1'
_cell_length_a 4.535
_cell_length_b 4.535
_cell_length_c 4.566
_cell_angle_alpha 90.00
_cell_angle_beta 90.00
_cell_angle_gamma 90.00
_symmetry_space_group_name_H-M 'P 1'
_symmetry_Int_Tables_number 1
_symmetry_space_group_name_Hall 'P 1'
loop_
_atom_site_label
_atom_site_fract_x
_atom_site_fract_y
_atom_site_fract_z
_atom_site_occupancy
Ru1 0.500 0.500 0.500 1
Ni1 0.000 0.500 0.000 1
Ni2 0.500 0.000 0.000 1
P1 0.000 0.000 0.500 1
Cd1 0.000 0.000 0.000 1
# SG: P4/mmm
# E_tot, eV/atom: -3.96
# N(E_F), states/eV/f.u.: 8.437

***

[2]
# GGA-PBEsol MnSbP2, relaxed
data_MnSbP2
_chemical_formula_sum 'Mn1 Sb1 P2'
_cell_length_a 2.999
_cell_length_b 2.999
_cell_length_c 8.352
_cell_angle_alpha 79.66
_cell_angle_beta 79.66
_cell_angle_gamma 60.00
_symmetry_space_group_name_H-M 'P 1'
_symmetry_Int_Tables_number 1
_symmetry_space_group_name_Hall 'P 1'
loop_
_atom_site_label
_atom_site_fract_x
_atom_site_fract_y
_atom_site_fract_z
_atom_site_occupancy
Mn1 0.000 0.000 0.000 1
P1 0.272 0.272 0.185 1
P2 0.728 0.728 0.815 1
Sb1 0.500 0.500 0.500 1
# SG: R-3m
# ΔE_f (raw), eV per atom: -0.010
# E_tot, eV/atom: -6.49
# N(E_F), states/eV/f.u.: 2.013

***

[3]
# GGA-PBEsol KSi2BO6, relaxed
data_KSi2BO6
_chemical_formula_sum 'K4 Si8 B4 O24'
_cell_length_a 4.719
_cell_length_b 9.981
_cell_length_c 10.484
_cell_angle_alpha 90.00
_cell_angle_beta 90.00
_cell_angle_gamma 90.00
_symmetry_space_group_name_H-M 'P 1'
_symmetry_Int_Tables_number 1
_symmetry_space_group_name_Hall 'P 1'
loop_
_atom_site_label
_atom_site_fract_x
_atom_site_fract_y
_atom_site_fract_z
_atom_site_occupancy
K1 0.799 0.967 0.810 1
K2 0.701 0.033 0.310 1
K3 0.299 0.533 0.190 1
K4 0.201 0.467 0.690 1
Si1 0.788 0.609 0.935 1
Si2 0.712 0.391 0.435 1
Si3 0.288 0.891 0.065 1
Si4 0.212 0.109 0.565 1
Si5 0.266 0.802 0.576 1
Si6 0.234 0.198 0.076 1
Si7 0.766 0.698 0.424 1
Si8 0.734 0.302 0.924 1
B1 0.291 0.732 0.843 1
B2 0.209 0.268 0.343 1
B3 0.791 0.768 0.157 1
B4 0.709 0.232 0.657 1
O1 0.987 0.697 0.841 1
O2 0.513 0.303 0.341 1
O3 0.487 0.803 0.159 1
O4 0.013 0.197 0.659 1
O5 0.336 0.858 0.914 1
O6 0.164 0.142 0.414 1
O7 0.836 0.642 0.086 1
O8 0.664 0.358 0.586 1
O9 0.454 0.620 0.897 1
O10 0.046 0.380 0.397 1
O11 0.954 0.880 0.103 1
O12 0.546 0.120 0.603 1
O13 0.390 0.755 0.711 1
O14 0.110 0.245 0.211 1
O15 0.890 0.745 0.289 1
O16 0.610 0.255 0.789 1
O17 0.025 0.694 0.528 1
O18 0.475 0.306 0.028 1
O19 0.525 0.806 0.472 1
O20 0.975 0.194 0.972 1
O21 0.122 0.950 0.581 1
O22 0.378 0.050 0.081 1
O23 0.622 0.550 0.419 1
O24 0.878 0.450 0.919 1
# SG: P2_12_12_1
# ΔE_f (raw), eV per atom: -2.670
# E_tot, eV/atom: -7.78
# N(E_F), states/eV/f.u.: 0.000

***

no.,calculated density (g cm⁻³)
1,6.4
2,6.2
3,2.7